Below is a relaxed structure of HgBiTeAs2, with properties calculated at the GGA-PBEsol level.

```
data_HgBiTeAs2
_cell_length_a 5.4518
_cell_length_b 5.4518
_cell_length_c 5.4245
_cell_angle_alpha 90.00
_cell_angle_beta 90.00
_cell_angle_gamma 90.00
_symmetry_space_group_name_H-M 'P 4/m m m'
_symmetry_Int_Tables_number 123
_symmetry_space_group_name_Hall '-P 4 2'
loop_
_atom_site_label
_atom_site_type_symbol
_atom_site_fract_x
_atom_site_fract_y
_atom_site_fract_z
Hg1 Hg 0.0000 0.0000 0.0000
Bi1 Bi 0.0000 0.0000 0.5000
Te1 Te 0.5000 0.5000 0.0000
As1 As 0.0000 0.5000 0.5000
```

Calculated values
final energy: -14.1 eV/f.u.
magnetization: 0.000 μB/f.u.
theoretical density: 7.08 g cm⁻³